Density functional theory data (GGA-PBE) for a relaxed KLaGaMo2 crystal.

Calculated values
Energy relative to the lowest polymorph listed for this composition: 489.7 meV per atom
Theoretical density: 4.422 g/cm³
DFT formation energy: 2.16 eV/atom
Crystal system: tetragonal
Symmetry: P4/mmm, No. 123
VASP energy: -3.983 eV/atom

```
5
Lattice="5.428 0.000 0.000 0.000 5.428 0.000 0.000 0.000 5.602" Properties=species:S:1:pos:R:3 pbc="T T T"
K 0.000 0.000 0.000
La 2.714 2.714 2.801
Ga 0.000 0.000 2.801
Mo 0.000 2.714 0.000
Mo 2.714 0.000 0.000
```